# 1
# Ge5Te12I3

A relaxed Ge5Te12I3 crystal (PBE-GGA, the Alexandria database).

Unit cell a=15.791 b=15.791 c=15.791 alpha=109.47 beta=109.47 gamma=109.47
Element x y z (fractional)
1 Ge 0.000 0.000 0.000
2 Ge 0.000 0.000 0.500
3 Ge 0.000 0.500 0.000
4 Ge 0.000 0.500 0.500
5 Ge 0.125 0.750 0.875
6 Ge 0.125 0.875 0.250
7 Ge 0.250 0.125 0.875
8 Ge 0.250 0.625 0.375
9 Ge 0.375 0.250 0.625
10 Ge 0.375 0.625 0.750
11 Ge 0.500 0.000 0.000
12 Ge 0.500 0.000 0.500
13 Ge 0.500 0.500 0.000
14 Ge 0.500 0.500 0.500
15 Ge 0.625 0.375 0.250
16 Ge 0.625 0.750 0.375
17 Ge 0.750 0.375 0.625
18 Ge 0.750 0.875 0.125
19 Ge 0.875 0.125 0.750
20 Ge 0.875 0.250 0.125
21 Te 0.013 0.212 0.073
22 Te 0.013 0.301 0.940
23 Te 0.060 0.573 0.361
24 Te 0.060 0.987 0.699
25 Te 0.073 0.013 0.212
26 Te 0.073 0.560 0.861
27 Te 0.139 0.712 0.699
28 Te 0.139 0.927 0.440
29 Te 0.199 0.212 0.639
30 Te 0.199 0.487 0.560
31 Te 0.212 0.073 0.013
32 Te 0.212 0.639 0.199
33 Te 0.288 0.301 0.861
34 Te 0.288 0.487 0.427
35 Te 0.301 0.861 0.288
36 Te 0.301 0.940 0.013
37 Te 0.361 0.060 0.573
38 Te 0.361 0.801 0.788
39 Te 0.427 0.288 0.487
40 Te 0.427 0.639 0.940
41 Te 0.440 0.139 0.927
42 Te 0.440 0.801 0.513
43 Te 0.487 0.427 0.288
44 Te 0.487 0.560 0.199
45 Te 0.513 0.440 0.801
46 Te 0.513 0.573 0.712
47 Te 0.560 0.199 0.487
48 Te 0.560 0.861 0.073
49 Te 0.573 0.361 0.060
50 Te 0.573 0.712 0.513
51 Te 0.639 0.199 0.212
52 Te 0.639 0.940 0.427
53 Te 0.699 0.060 0.987
54 Te 0.699 0.139 0.712
55 Te 0.712 0.513 0.573
56 Te 0.712 0.699 0.139
57 Te 0.788 0.361 0.801
58 Te 0.788 0.927 0.987
59 Te 0.801 0.513 0.440
60 Te 0.801 0.788 0.361
61 Te 0.861 0.073 0.560
62 Te 0.861 0.288 0.301
63 Te 0.927 0.440 0.139
64 Te 0.927 0.987 0.788
65 Te 0.940 0.013 0.301
66 Te 0.940 0.427 0.639
67 Te 0.987 0.699 0.060
68 Te 0.987 0.788 0.927
69 I 0.125 0.250 0.375
70 I 0.125 0.375 0.750
71 I 0.250 0.375 0.125
72 I 0.250 0.875 0.625
73 I 0.375 0.125 0.250
74 I 0.375 0.750 0.125
75 I 0.625 0.250 0.875
76 I 0.625 0.875 0.750
77 I 0.750 0.125 0.375
78 I 0.750 0.625 0.875
79 I 0.875 0.625 0.250
80 I 0.875 0.750 0.625

Space group: Ia-3d (230)
Total magnetic moment, μB per formula unit: 0.0
E_form (uncorrected), eV per atom: 0.193
Crystal system: cubic
Energy, eV per cell: -246.27

***

# 2
# GeTe3I

A relaxed GeTe3I crystal (PBE-GGA, the Alexandria database).

Unit cell a=5.807 b=5.807 c=5.807 alpha=90.00 beta=90.00 gamma=90.00
Element x y z (fractional)
1 Ge 0.000 0.000 0.000
2 Te 0.000 0.500 0.500
3 Te 0.500 0.000 0.500
4 Te 0.500 0.500 0.000
5 I 0.500 0.500 0.500

Space group: Pm-3m (221)
Total magnetic moment, μB per formula unit: 0.0
E_form (uncorrected), eV per atom: 0.997
Distance to the lowest polymorph of the same formula, eV per atom: 0.977
Crystal system: cubic
Energy, eV per cell: -10.61